! Y3GeSb, optimized geometry, DFT PBE-GGA; values from VASP
&SYSTEM
  ibrav = 0, nat = 10, ntyp = 3
/
ATOMIC_SPECIES
Y 88.91 Y.upf
Sb 121.76 Sb.upf
Ge 72.64 Ge.upf
CELL_PARAMETERS angstrom
7.3193 0.0000 0.0000
3.6597 6.3389 0.0000
3.6597 2.1129 6.7944
ATOMIC_POSITIONS angstrom
Y 5.8908 1.7706 5.1673
Y 4.4788 4.2355 1.6271
Y 8.7479 6.6812 1.6271
Y 10.1599 4.2162 5.1673
Y 5.9076 6.6906 5.1673
Y 8.7311 1.7611 1.6271
Sb 7.3195 4.2258 6.2637
Sb 7.3193 4.2259 0.5307
Ge 3.6597 2.1129 3.3999
Ge 10.9790 6.3388 3.3945
! Formation energy from raw total energies ... -689.7 meV per atom
! Space group ... R-3 (148)
! DFT total energy ... -63.16 eV/cell

***

! HfBe2BiBr, optimized geometry, DFT PBE-GGA; values from VASP
&SYSTEM
  ibrav = 0, nat = 5, ntyp = 4
/
ATOMIC_SPECIES
Bi 208.98 Bi.upf
Be 9.01 Be.upf
Br 79.90 Br.upf
Hf 178.49 Hf.upf
CELL_PARAMETERS angstrom
-0.4965 -3.2905 -3.2003
5.7951 -0.3722 -0.5164
0.0872 -3.2252 3.3025
ATOMIC_POSITIONS angstrom
Bi 0.0000 0.0000 0.0000
Be -0.2483 -1.6452 -1.6002
Be 0.0436 -1.6126 1.6513
Br 2.8975 -0.1861 -0.2582
Hf 2.6929 -3.4439 -0.2071
! Formation energy from raw total energies ... 1413.0 meV per atom
! Space group ... P4/mmm (123)
! DFT total energy ... -15.89 eV/cell

***

! Hf2TiAu2, optimized geometry, DFT PBE-GGA; values from VASP
&SYSTEM
  ibrav = 0, nat = 10, ntyp = 3
/
ATOMIC_SPECIES
Hf 178.49 Hf.upf
Ti 47.87 Ti.upf
Au 196.97 Au.upf
CELL_PARAMETERS angstrom
-0.6263 -4.3787 -6.3174
0.2351 -6.3463 4.3754
-3.3862 0.0717 0.2860
ATOMIC_POSITIONS angstrom
Hf -0.0246 -2.8485 0.4236
Hf -0.3777 -3.9587 -3.4791
Hf -0.0135 -6.7663 1.5371
Hf -0.3667 -7.8765 -2.3657
Ti -0.1956 -5.3625 -0.9710
Ti 0.0000 0.0000 0.0000
Au -1.8873 -8.2346 -0.0814
Au -1.8902 -2.4187 -1.5746
Au -1.6283 -4.5827 2.0690
Au -2.1492 -6.0706 -3.7250
! Space group ... P4/mbm (127)
! DFT total energy ... -70.11 eV/cell
! Energy of formation ... -14 kJ per mole of atoms

***

! Tb3Pm2HoBi6, optimized geometry, DFT PBE-GGA; values from VASP
&SYSTEM
  ibrav = 0, nat = 12, ntyp = 4
/
ATOMIC_SPECIES
Tb 158.93 Tb.upf
Ho 164.93 Ho.upf
Bi 208.98 Bi.upf
Pm 145.00 Pm.upf
CELL_PARAMETERS angstrom
4.5169 0.0000 0.0000
0.0000 9.0261 0.3263
-2.2584 -2.5950 9.4916
ATOMIC_POSITIONS angstrom
Tb 0.0000 6.6531 3.4575
Tb 2.2584 4.5131 0.1631
Tb 2.2584 -0.2219 6.3604
Ho 2.2584 0.0000 0.0000
Bi 0.0000 1.9979 6.4849
Bi 0.0000 6.5826 6.6482
Bi 2.2584 -0.3521 9.5350
Bi 0.0000 6.7832 0.2829
Bi 2.2584 -0.1514 3.1697
Bi 2.2584 4.4332 3.3330
Pm 2.2584 4.2913 6.5575
Pm 0.0000 2.1399 3.2604
! Space group ... C2/m (12)
! DFT total energy ... -61.94 eV/cell
! Energy of formation ... -86 kJ per mole of atoms

***

! RbCd3Pd, optimized geometry, DFT PBE-GGA; values from VASP
&SYSTEM
  ibrav = 0, nat = 10, ntyp = 3
/
ATOMIC_SPECIES
Pd 106.42 Pd.upf
Rb 85.47 Rb.upf
Cd 112.41 Cd.upf
CELL_PARAMETERS angstrom
4.5554 -2.6301 0.0000
0.0000 5.2601 0.0000
0.0000 0.0000 10.9492
ATOMIC_POSITIONS angstrom
Pd 0.0000 0.0000 5.4746
Pd 0.0000 0.0000 0.0000
Rb 3.0369 0.0000 2.7373
Rb 1.5185 2.6301 8.2119
Cd 0.0000 0.0000 2.7373
Cd 1.5185 2.6301 4.8114
Cd 3.0369 0.0000 6.1378
Cd 1.5185 2.6301 0.6632
Cd 3.0369 0.0000 10.2859
Cd 0.0000 0.0000 8.2119
! Space group ... P6_3/mmc (194)
! DFT total energy ... -17.60 eV/cell
! Energy of formation ... 2 kJ per mole of atoms

***

! CaSiSbTe2, optimized geometry, DFT PBE-GGA; values from VASP
&SYSTEM
  ibrav = 0, nat = 5, ntyp = 4
/
ATOMIC_SPECIES
Ca 40.08 Ca.upf
Te 127.60 Te.upf
Si 28.09 Si.upf
Sb 121.76 Sb.upf
CELL_PARAMETERS angstrom
5.7362 0.0000 0.0000
0.0000 5.7362 0.0000
0.0000 0.0000 5.7302
ATOMIC_POSITIONS angstrom
Ca 0.0000 0.0000 0.0000
Te 0.0000 2.8681 0.0000
Te 2.8681 0.0000 0.0000
Si 2.8681 2.8681 2.8651
Sb 0.0000 0.0000 2.8651
! Formation energy from raw total energies ... 708.7 meV per atom
! Space group ... P4/mmm (123)
! DFT total energy ... -14.29 eV/cell

***

Number 4 is which compound? Tb3Pm2HoBi6